Material: NbTcN2
Method: DFT, GGA-PBE
State: optimized geometry

Unit cell a=6.5378 b=6.5378 c=6.5378 alpha=27.05 beta=27.05 gamma=27.05
Element x y z (fractional)
Nb (0.0000, 0.0000, 0.0000)
Tc (0.5000, 0.5000, 0.5000)
N (0.3962, 0.3962, 0.3962)
N (0.6038, 0.6038, 0.6038)

- Crystal system: trigonal
- Size of the total moment: 1.2 μB per cell
- Energy above the most stable polymorph in this dataset: 0.162 eV per atom
- Density of states at the Fermi level: 0.948 states/eV per atom
- SG: No. 166